The following is a DFT calculation (PBE with a Hubbard U) of Rb3Sm3CrO8 after structural relaxation.

a b c (Å): 6.879 6.937 7.717
angles (deg): 116.57 90.00 119.72
Site moments in Bohr magnetons follow the coordinates.
Fractional coordinates of all 15 atoms:
Rb 0.000 0.000 0.000  0.00
O 0.234 0.037 0.340  -0.05
O 0.197 0.963 0.660  -0.05
Sm 0.000 0.500 0.500  0.01
O 0.275 0.551 0.322  0.00
O 0.725 0.449 0.678  0.00
Cr 0.000 0.000 0.500  2.23
O 0.206 0.412 0.666  -0.03
Sm 0.500 0.000 0.500  0.00
Rb 0.500 0.500 0.000  0.00
Sm 0.500 0.500 0.500  0.01
Rb 0.000 0.500 0.000  0.00
O 0.794 0.588 0.334  -0.03
O 0.803 0.037 0.340  -0.05
O 0.766 0.963 0.660  -0.05

The total energy comes out at -0.4886 Ry/atom.